The following is a PBE-GGA calculation of a relaxed structure of Tb12Sm2Mg, from the Alexandria database.

Unit cell a=6.685 b=6.685 c=24.409 alpha=85.44 beta=85.44 gamma=116.42
Positions (direct):
Tb 0.442 0.380 0.806
Tb 0.880 0.942 0.806
Tb 0.612 0.657 0.934
Tb 0.251 0.751 0.851
Tb 0.969 0.962 0.327
Tb 0.249 0.749 0.149
Tb 0.851 0.351 0.570
Tb 0.462 0.469 0.327
Tb 0.157 0.112 0.934
Tb 0.888 0.843 0.066
Tb 0.356 0.337 0.556
Tb 0.649 0.149 0.430
Tb 0.038 0.031 0.673
Tb 0.144 0.163 0.444
Tb 0.343 0.388 0.066
Tb 0.663 0.644 0.444
Tb 0.837 0.856 0.556
Tb 0.058 0.120 0.194
Tb 0.327 0.827 0.579
Tb 0.531 0.538 0.673
Tb 0.733 0.233 0.894
Tb 0.620 0.558 0.194
Tb 0.173 0.673 0.421
Tb 0.767 0.267 0.106
Sm 0.507 0.007 0.267
Sm 0.986 0.486 0.287
Sm 0.993 0.493 0.733
Sm 0.514 0.014 0.713
Mg 0.454 0.954 0.017
Mg 0.046 0.546 0.983

Properties
Uncorrected energy   -4.34 eV/atom
DOS at the Fermi energy   40.43 states/eV per cell



The following is a PBE-GGA calculation of a relaxed structure of Tb2Sm8Mg, from the Alexandria database.

Unit cell a=5.990 b=8.239 c=8.239 alpha=86.77 beta=79.79 gamma=79.79
Positions (direct):
Tb 0.507 0.135 0.135
Tb 0.493 0.865 0.865
Sm 0.790 0.138 0.658
Sm 0.210 0.342 0.862
Sm 0.905 0.271 0.271
Sm 0.095 0.729 0.729
Sm 0.790 0.658 0.138
Sm 0.210 0.862 0.342
Sm 0.289 0.421 0.421
Sm 0.711 0.579 0.579
Mg 0.000 0.000 0.000

Properties
Distance to the lowest polymorph of the same formula   27.46 kJ/mol of atoms
DOS at the Fermi energy   13.60 states/eV per cell



The following is a PBE-GGA calculation of a relaxed structure of Tb2Sm7Mg2, from the Alexandria database.

Unit cell a=6.589 b=8.580 c=6.589 alpha=77.96 beta=85.28 gamma=102.04
Positions (direct):
Tb 0.677 0.000 0.677
Tb 0.323 0.000 0.323
Sm 0.885 0.681 0.474
Sm 0.526 0.681 0.115
Sm 0.141 0.916 0.859
Sm 0.000 0.500 0.000
Sm 0.859 0.084 0.141
Sm 0.115 0.319 0.526
Sm 0.474 0.319 0.885
Mg 0.384 0.665 0.616
Mg 0.616 0.335 0.384

Properties
Distance to the lowest polymorph of the same formula   0.00 kJ/mol of atoms
DOS at the Fermi energy   16.05 states/eV per cell



- Number 1 is which compound?
  Tb12Sm2Mg